[1]
This record from the Alexandria database describes a relaxed structure of ZrSb2TeI. The functional is PBE.

Cell lengths 5.734, 5.734, 5.606 Å; angles 90.00, 90.00, 90.00 degrees
Space group P4/mmm (No. 123)
Inequivalent atoms, fractional coordinates:
Zr 0.000 0.000 0.000 [1 per cell]
Sb 0.000 0.500 0.500 [2 per cell]
Te 0.500 0.500 0.500 [1 per cell]
I 0.500 0.500 0.000 [1 per cell]

* raw formation energy: 0.99 eV/atom
* offset from the most stable computed form: 452.3 kJ/mol of formula units

[2]
This record from the Alexandria database describes a relaxed structure of ZrSb2TeI. The functional is PBE.

Cell lengths 5.698, 5.698, 5.436 Å; angles 90.00, 90.00, 90.00 degrees
Space group P4/mmm (No. 123)
Inequivalent atoms, fractional coordinates:
Zr 0.000 0.000 0.000 [1 per cell]
Sb 0.000 0.500 0.000 [2 per cell]
Te 0.500 0.500 0.500 [1 per cell]
I 0.000 0.000 0.500 [1 per cell]

* raw formation energy: 0.21 eV/atom
* offset from the most stable computed form: 72.3 kJ/mol of formula units

[3]
This record from the Alexandria database describes a relaxed structure of ZrSbTe2I. The functional is PBE.

Cell lengths 5.676, 5.676, 5.669 Å; angles 90.00, 90.00, 90.00 degrees
Space group P4/mmm (No. 123)
Inequivalent atoms, fractional coordinates:
Zr 0.000 0.000 0.000 [1 per cell]
Sb 0.500 0.500 0.000 [1 per cell]
Te 0.000 0.500 0.500 [2 per cell]
I 0.500 0.500 0.500 [1 per cell]

* raw formation energy: 1.14 eV/atom
* offset from the most stable computed form: 571.6 kJ/mol of formula units

[4]
This record from the Alexandria database describes a relaxed structure of ZrSbTeI2. The functional is PBE.

Cell lengths 5.776, 5.776, 5.993 Å; angles 90.00, 90.00, 90.00 degrees
Space group P4/mmm (No. 123)
Inequivalent atoms, fractional coordinates:
Zr 0.000 0.000 0.000 [1 per cell]
Sb 0.500 0.500 0.000 [1 per cell]
Te 0.500 0.500 0.500 [1 per cell]
I 0.000 0.500 0.500 [2 per cell]

* raw formation energy: 0.91 eV/atom
* offset from the most stable computed form: 441.3 kJ/mol of formula units

[5]
This record from the Alexandria database describes a relaxed structure of ZrSbTeI2. The functional is PBE.

Cell lengths 5.770, 5.770, 5.697 Å; angles 90.00, 90.00, 90.00 degrees
Space group P4/mmm (No. 123)
Inequivalent atoms, fractional coordinates:
Zr 0.000 0.000 0.000 [1 per cell]
Sb 0.500 0.500 0.500 [1 per cell]
Te 0.000 0.000 0.500 [1 per cell]
I 0.000 0.500 0.000 [2 per cell]

* raw formation energy: 0.00 eV/atom
* offset from the most stable computed form: 0.0 kJ/mol of formula units

[6]
This record from the Alexandria database describes a relaxed structure of ZrSbTe2I. The functional is PBE.

Cell lengths 5.751, 5.751, 5.698 Å; angles 90.00, 90.00, 90.00 degrees
Space group P4/mmm (No. 123)
Inequivalent atoms, fractional coordinates:
Zr 0.000 0.000 0.000 [1 per cell]
Sb 0.500 0.500 0.500 [1 per cell]
Te 0.000 0.500 0.500 [2 per cell]
I 0.500 0.500 0.000 [1 per cell]

* raw formation energy: 0.68 eV/atom
* offset from the most stable computed form: 350.4 kJ/mol of formula units